(1)
This record from OQMD via LeMat-Bulk describes a relaxed Lu2Zr4Sn3C3 crystal. The functional is PBE.

Summary:
The total energy comes out at -183.63 eV per cell.

Cell lengths 5.9361, 5.9361, 15.3039 Å; angles 101.26, 101.26, 60.02 degrees
Closest atoms and distances in Å follow each position.
Element x y z (fractional)
Lu 0.0302 0.8673 0.5892  3 C 2.40-2.41
Lu 0.1327 0.9698 0.9108  3 C 2.40-2.41
Lu 0.8673 0.0302 0.0892  3 C 2.40-2.41
Lu 0.9698 0.1327 0.4108  3 C 2.40-2.41
Zr 0.1944 0.3570 0.0818  3 C 2.31-2.32
Zr 0.3022 0.4760 0.4182  3 C 2.31-2.32
Zr 0.3570 0.1944 0.5818  3 C 2.31-2.32
Zr 0.4760 0.3022 0.9182  3 C 2.31-2.32
Zr 0.5240 0.6978 0.0818  3 C 2.31-2.32
Zr 0.6430 0.8056 0.4182  3 C 2.31-2.32
Zr 0.6978 0.5240 0.5818  3 C 2.31-2.32
Zr 0.8056 0.6430 0.9182  3 C 2.31-2.32
Sn 0.0830 0.2700 0.7508  4 Zr 3.16, 2 Lu 3.17-3.19, 4 Sn 3.33
Sn 0.2700 0.0830 0.2508  4 Zr 3.16, 2 Lu 3.17-3.19, 4 Sn 3.33
Sn 0.4352 0.5648 0.7500  4 Zr 3.17, 2 Lu 3.19, 4 Sn 3.33
Sn 0.5648 0.4352 0.2500  4 Zr 3.17, 2 Lu 3.19, 4 Sn 3.33
Sn 0.7300 0.9170 0.7492  4 Zr 3.16, 2 Lu 3.17-3.19, 4 Sn 3.33
Sn 0.9170 0.7300 0.2492  4 Zr 3.16, 2 Lu 3.17-3.19, 4 Sn 3.33
C 0.0000 0.5000 0.5000  4 Zr 2.31, 2 Lu 2.40
C 0.1715 0.6569 0.0000  4 Zr 2.31-2.32, 2 Lu 2.41
C 0.3431 0.8285 0.5000  4 Zr 2.31-2.32, 2 Lu 2.41
C 0.5000 0.0000 0.0000  4 Zr 2.31, 2 Lu 2.40
C 0.6569 0.1715 0.5000  4 Zr 2.31-2.32, 2 Lu 2.41
C 0.8285 0.3431 0.0000  4 Zr 2.31-2.32, 2 Lu 2.41

***

(2)
This record from OQMD via LeMat-Bulk describes a relaxed Lu4Zr2Sn3C3 crystal. The functional is PBE.

Summary:
The total energy comes out at -166.17 eV per cell.

Cell lengths 6.0227, 6.0227, 15.5219 Å; angles 101.30, 101.30, 60.00 degrees
Closest atoms and distances in Å follow each position.
Element x y z (fractional)
Lu 0.0337 0.1917 0.0872  3 C 2.41-2.44
Lu 0.1329 0.3043 0.4128  3 C 2.41-2.44
Lu 0.1917 0.0337 0.5872  3 C 2.41-2.44
Lu 0.3043 0.1329 0.9128  3 C 2.41-2.44
Lu 0.6957 0.8671 0.0872  3 C 2.41-2.44
Lu 0.8083 0.9663 0.4128  3 C 2.41-2.44
Lu 0.8671 0.6957 0.5872  3 C 2.41-2.44
Lu 0.9663 0.8083 0.9128  3 C 2.41-2.44
Zr 0.3557 0.5264 0.0791  3 C 2.29-2.31
Zr 0.4736 0.6443 0.4209  3 C 2.29-2.31
Zr 0.5264 0.3557 0.5791  3 C 2.29-2.31
Zr 0.6443 0.4736 0.9209  3 C 2.29-2.31
Sn 0.1067 0.8933 0.2500  2 Zr 3.18, 4 Lu 3.21-3.22, 2 Sn 3.24
Sn 0.2718 0.4182 0.7511  2 Zr 3.19-3.20, 4 Lu 3.22-3.23, 2 Sn 3.24
Sn 0.4182 0.2718 0.2511  2 Zr 3.19-3.20, 4 Lu 3.22-3.23, 2 Sn 3.24
Sn 0.5818 0.7282 0.7489  2 Zr 3.19-3.20, 4 Lu 3.22-3.23, 2 Sn 3.24
Sn 0.7282 0.5818 0.2489  2 Zr 3.19-3.20, 4 Lu 3.22-3.23, 2 Sn 3.24
Sn 0.8933 0.1067 0.7500  2 Zr 3.18, 4 Lu 3.21-3.22, 2 Sn 3.24
C 0.0000 0.5000 0.0000  2 Zr 2.31, 4 Lu 2.41
C 0.1828 0.6586 0.5000  2 Zr 2.29, 4 Lu 2.41-2.44
C 0.3414 0.8172 0.0000  2 Zr 2.29, 4 Lu 2.41-2.44
C 0.5000 0.0000 0.5000  2 Zr 2.31, 4 Lu 2.41
C 0.6586 0.1828 0.0000  2 Zr 2.29, 4 Lu 2.41-2.44
C 0.8172 0.3414 0.5000  2 Zr 2.29, 4 Lu 2.41-2.44

***

(3)
This record from OQMD via LeMat-Bulk describes a relaxed LuZrSnC crystal. The functional is PBE.

Summary:
The total energy comes out at -58.11 eV per cell.

Cell lengths 3.4572, 3.4572, 15.0557 Å; angles 90.00, 90.00, 120.00 degrees
Closest atoms and distances in Å follow each position.
Element x y z (fractional)
Lu 0.3333 0.6667 0.4140  3 C 2.38
Lu 0.6667 0.3333 0.5860  3 C 2.38
Zr 0.3333 0.6667 0.0819  3 C 2.35
Zr 0.6667 0.3333 0.9181  3 C 2.35
Sn 0.3333 0.6667 0.7576  3 Zr 3.13, 3 Lu 3.26, 6 Sn 3.46
Sn 0.6667 0.3333 0.2424  3 Zr 3.13, 3 Lu 3.26, 6 Sn 3.46
C 0.0000 0.0000 0.0000  6 Zr 2.35
C 0.0000 0.0000 0.5000  6 Lu 2.38

***

Total magnetization (μB per cell)
0.02; 0.00; 0.01